A relaxed structure of BaVPO2. Source: Alexandria via LeMat-Bulk, functional GGA+U.

The structure belongs to space group P4/mmm (No. 123); the cell edges are 4.125, 4.125 and 4.753 Å and the angles 90.00°, 90.00° and 90.00°. Symmetry generates all atoms from Ba at (0.000, 0.000, 0.000), V at (0.500, 0.500, 0.500), P at (0.500, 0.500, 0.000) and O at (0.000, 0.500, 0.500).

The value obtained for the excess energy over the best structure of this formula in the dataset is 0.0000 eV/atom.